BaHoPO: optimized geometry, PBE-GGA. Values from VASP.

## Properties
Mass density, Mg/m³: 5.07
Uncorrected energy, eV for the cell shown: -50.15
Space-group type: Pmc2_1

```
&SYSTEM
  ibrav = 0, nat = 8, ntyp = 4
/
ATOMIC_SPECIES
Ba 137.33 Ba.upf
Ho 164.93 Ho.upf
P 30.97 P.upf
O 16.00 O.upf
CELL_PARAMETERS angstrom
4.6030 0.0000 0.0000
0.0000 7.5634 0.0000
0.0000 0.0000 6.5742
ATOMIC_POSITIONS angstrom
Ba 0.0000 1.5231 0.0000
Ba 0.0000 6.0403 3.2871
Ho 2.3015 2.8809 3.8136
Ho 2.3015 4.6825 0.5264
P 0.0000 1.6630 3.1831
P 0.0000 5.9004 6.4702
O 2.3015 2.8383 5.9898
O 2.3015 4.7251 2.7027
```